Computed, not measured: crystalline BaAlAu at its relaxed geometry at the PBEsol level of DFT.

- Energy of formation: 0.15 eV/f.u.
- Size of the total moment: 0.00 Bohr magnetons per cell
- Crystal system: cubic

```
3
Lattice="4.964 0.000 0.000 2.482 4.299 0.000 2.482 1.433 4.053" Properties=species:S:1:pos:R:3 pbc="T T T"
Al 2.482 1.433 1.013
Ba 4.964 2.866 2.027
Au 0.000 0.000 0.000
```